Density functional theory data (GGA-PBE) for a geometry-optimized Li8Sn5Hg structure.

Cell: 7.8179 7.8179 9.4490 Å, 90.00 90.00 90.00°
Space group I-4 (No. 82)
Unique sites:
Li 0.0703 0.1644 0.2561
Li 0.0857 0.3146 0.8582
Sn 0.0000 0.0000 0.0000
Sn 0.1333 0.2317 0.5549
Hg 0.0000 0.5000 0.2500

## Properties
ρ: 4.89 Mg/m³
crystal system: tetragonal
E_tot: -39.35 eV per formula unit